Density functional theory data (PBE) for a relaxed structure of LaPm2NdIn4.

It has space group R-3m (No. 166, hexagonal axes), with a = 5.4872 Å, b = 5.4872 Å, c = 26.9244 Å, α = 90.00°, β = 90.00° and γ = 120.00°. The asymmetric unit holds La at (0.0000, 0.0000, 0.0000), Pm at (0.0000, 0.0000, 0.2499), Nd at (0.0000, 0.0000, 0.5000), In at (0.0000, 0.0000, 0.1259) and In at (0.0000, 0.0000, 0.3758).

The energy of formation from the pure elements comes out at -3.986 eV per formula unit.


Density functional theory data (PBE) for a relaxed structure of LaPm2NdIn.

It has space group Cmcm (No. 63), with a = 6.672 Å, b = 15.462 Å, c = 6.729 Å, α = 90.00°, β = 90.00° and γ = 90.00°. The asymmetric unit holds La at (0.000, 0.248, 0.250), Pm at (0.242, 0.000, 0.000), Nd at (0.000, 0.344, 0.750) and In at (0.000, 0.149, 0.750).

The energy of formation from the pure elements comes out at 0.155 eV per formula unit.


Density functional theory data (PBE) for a relaxed structure of La3Pm2Nd6In.

It has space group C2/m (No. 12), with a = 6.288 Å, b = 10.925 Å, c = 12.078 Å, α = 90.00°, β = 100.23° and γ = 90.00°. The asymmetric unit holds La at (0.000, 0.000, 0.000), La at (0.000, 0.329, 0.000), Pm at (0.000, 0.166, 0.500), Nd at (0.243, 0.338, 0.744), Nd at (0.243, 0.500, 0.254) and In at (0.000, 0.500, 0.500).

The energy of formation from the pure elements comes out at -0.574 eV per formula unit.


Density functional theory data (PBE) for a relaxed structure of LaPmNdIn.

It has space group F-43m (No. 216), with a = 7.990 Å, b = 7.990 Å, c = 7.990 Å, α = 90.00°, β = 90.00° and γ = 90.00°. The asymmetric unit holds La at (0.000, 0.000, 0.000), Pm at (0.250, 0.250, 0.750), Nd at (0.000, 0.000, 0.500) and In at (0.250, 0.250, 0.250).

The energy of formation from the pure elements comes out at -0.592 eV per formula unit.


Density functional theory data (PBE) for a relaxed structure of LaPmNdIn.

It has space group I-4m2 (No. 119), with a = 4.928 Å, b = 4.928 Å, c = 10.299 Å, α = 90.00°, β = 90.00° and γ = 90.00°. The asymmetric unit holds La at (0.000, 0.000, 0.000), Pm at (0.000, 0.500, 0.250), Nd at (0.000, 0.500, 0.750) and In at (0.000, 0.000, 0.500).

The energy of formation from the pure elements comes out at -0.993 eV per formula unit.


Density functional theory data (PBE) for a relaxed structure of La2Pr3Nd6In.

It has space group C2/m (No. 12), with a = 6.304 Å, b = 10.937 Å, c = 12.135 Å, α = 90.00°, β = 100.13° and γ = 90.00°. The asymmetric unit holds La at (0.000, 0.166, 0.000), Pr at (0.000, 0.000, 0.500), Pr at (0.000, 0.331, 0.500), Nd at (0.241, 0.500, 0.752), Nd at (0.244, 0.338, 0.246) and In at (0.000, 0.500, 0.000).

The energy of formation from the pure elements comes out at -0.748 eV per formula unit.


Density functional theory data (PBE) for a relaxed structure of La3Pr6Nd2In.

It has space group C2/m (No. 12), with a = 6.324 Å, b = 10.993 Å, c = 12.154 Å, α = 90.00°, β = 100.26° and γ = 90.00°. The asymmetric unit holds La at (0.000, 0.000, 0.000), La at (0.000, 0.328, 0.000), Pr at (0.243, 0.338, 0.744), Pr at (0.243, 0.500, 0.254), Nd at (0.000, 0.166, 0.500) and In at (0.000, 0.500, 0.500).

The energy of formation from the pure elements comes out at -0.610 eV per formula unit.


Density functional theory data (PBE) for a relaxed structure of La2Pr6Nd3In.

It has space group C2/m (No. 12), with a = 6.320 Å, b = 10.968 Å, c = 12.166 Å, α = 90.00°, β = 100.14° and γ = 90.00°. The asymmetric unit holds La at (0.000, 0.166, 0.000), Pr at (0.241, 0.500, 0.751), Pr at (0.244, 0.338, 0.247), Nd at (0.000, 0.000, 0.500), Nd at (0.000, 0.331, 0.500) and In at (0.000, 0.500, 0.000).

The energy of formation from the pure elements comes out at -0.743 eV per formula unit.


Density functional theory data (PBE) for a relaxed structure of LaPrNd2In4.

It has space group R-3m (No. 166, hexagonal axes), with a = 5.5152 Å, b = 5.5152 Å, c = 27.0653 Å, α = 90.00°, β = 90.00° and γ = 120.00°. The asymmetric unit holds La at (0.0000, 0.0000, 0.0000), Pr at (0.0000, 0.0000, 0.5000), Nd at (0.0000, 0.0000, 0.2500), In at (0.0000, 0.0000, 0.1256) and In at (0.0000, 0.0000, 0.3755).

The energy of formation from the pure elements comes out at -3.986 eV per formula unit.


Density functional theory data (PBE) for a relaxed structure of La3Pr2Nd6In.

It has space group C2/m (No. 12), with a = 6.302 Å, b = 10.942 Å, c = 12.130 Å, α = 90.00°, β = 100.18° and γ = 90.00°. The asymmetric unit holds La at (0.000, 0.000, 0.000), La at (0.000, 0.329, 0.000), Pr at (0.000, 0.166, 0.500), Nd at (0.242, 0.500, 0.253), Nd at (0.243, 0.338, 0.745) and In at (0.000, 0.500, 0.500).

The energy of formation from the pure elements comes out at -0.656 eV per formula unit.


Density functional theory data (PBE) for a relaxed structure of La5Pr2NdIn.

It has space group P4/mbm (No. 127), with a = 8.541 Å, b = 8.541 Å, c = 8.771 Å, α = 90.00°, β = 90.00° and γ = 90.00°. The asymmetric unit holds La at (0.000, 0.000, 0.000), La at (0.224, 0.276, 0.287), Pr at (0.124, 0.624, 0.000), Nd at (0.000, 0.000, 0.500) and In at (0.000, 0.500, 0.500).

The energy of formation from the pure elements comes out at 1.088 eV per formula unit.


Density functional theory data (PBE) for a relaxed structure of La2Pr5NdIn.

It has space group Cmc2_1 (No. 36), with a = 5.675 Å, b = 20.423 Å, c = 11.014 Å, α = 90.00°, β = 90.00° and γ = 90.00°. The asymmetric unit holds La at (0.000, 0.117, 0.000), La at (0.000, 0.118, 0.408), Pr at (0.000, 0.012, 0.704), Pr at (0.000, 0.288, 0.008), Pr at (0.000, 0.289, 0.400), Pr at (0.000, 0.382, 0.704), Pr at (0.000, 0.500, 0.453), Nd at (0.000, 0.198, 0.704) and In at (0.000, 0.407, 0.203).

The energy of formation from the pure elements comes out at -0.262 eV per formula unit.